1.
The following is a PBE calculation of a relaxed LiMnPt crystal, from the Alexandria database.

It has space group P6_3/mmc (No. 194), with a = 4.2142 Å, b = 4.2142 Å, c = 4.7342 Å, α = 90.00°, β = 90.00° and γ = 120.00°. The distinct sites, in fractional coordinates, are Li at (0.3333, 0.6667, 0.2500), Mn at (0.0000, 0.0000, 0.0000) and Pt at (0.3333, 0.6667, 0.7500).

The electronic total energy is -5.714 eV/atom. For the energy of formation from the pure elements, the calculation gives -0.0061 eV per atom. The value obtained for the energy above the lowest structure with this stoichiometry is 293.1 meV/atom. The value obtained for the density of states at the Fermi level is 6.73 states/eV/cell.



2.
The following is a PBE calculation of a relaxed LiMnPt crystal, from the Alexandria database.

It has space group Cm (No. 8), with a = 13.463 Å, b = 2.648 Å, c = 4.639 Å, α = 90.00°, β = 106.85° and γ = 90.00°. The distinct sites, in fractional coordinates, are Li at (0.000, 0.000, 0.000), Li at (0.172, 0.500, 0.285), Mn at (0.345, 0.000, 0.614), Mn at (0.473, 0.000, 0.487), Pt at (0.140, 0.000, 0.742) and Pt at (0.327, 0.500, 0.083).

The electronic total energy is -5.869 eV/atom. For the energy of formation from the pure elements, the calculation gives -0.1611 eV per atom. The value obtained for the energy above the lowest structure with this stoichiometry is 138.1 meV/atom. The value obtained for the density of states at the Fermi level is 8.52 states/eV/cell.



3.
The following is a PBE calculation of a relaxed Li2MnPt crystal, from the Alexandria database.

It has space group Cmmm (No. 65), with a = 2.831 Å, b = 4.606 Å, c = 9.028 Å, α = 90.00°, β = 90.00° and γ = 90.00°. The distinct sites, in fractional coordinates, are Li at (0.000, 0.000, 0.237), Mn at (0.000, 0.500, 0.500) and Pt at (0.000, 0.500, 0.000).

The electronic total energy is -4.840 eV/atom. For the energy of formation from the pure elements, the calculation gives -0.0804 eV per atom. The value obtained for the energy above the lowest structure with this stoichiometry is 221.2 meV/atom. The value obtained for the density of states at the Fermi level is 5.97 states/eV/cell.